(1)
Material: TmMgScRe
Method: DFT, PBE
State: optimized geometry

- ΔE_f (kcal/mol of atoms) = 0.4

Lattice parameters (Å, degrees): 6.862 6.862 6.862 90.00 90.00 90.00
Space group F-43m (No. 216)
Asymmetric unit:
1 Tm 0.000 0.000 0.000 [4 per cell]
2 Mg 0.250 0.250 0.250 [4 per cell]
3 Sc 0.000 0.000 0.500 [4 per cell]
4 Re 0.250 0.250 0.750 [4 per cell]


(2)
Material: LiH6Ir
Method: DFT, PBE
State: optimized geometry

- total energy (eV per atom) = -3.979

Lattice parameters (Å, degrees): 2.885 4.902 5.132 65.50 73.96 89.99
Space group P-1 (No. 2)
Asymmetric unit:
1 Li 0.000 0.000 0.000 [1 per cell]
2 H 0.114 0.656 0.767 [2 per cell]
3 H 0.340 0.190 0.327 [2 per cell]
4 H 0.404 0.707 0.196 [2 per cell]
5 Ir 0.500 0.500 0.000 [1 per cell]


(3)
Material: Ba3CdAg8
Method: DFT, PBE
State: optimized geometry

- ΔE_f (kcal/mol of atoms) = -2.9

Lattice parameters (Å, degrees): 5.9933 5.9933 29.1478 90.00 90.00 120.00
Space group R3m (No. 160, hexagonal axes)
Asymmetric unit:
1 Ba 0.0000 0.0000 0.0000 [3 per cell]
2 Ba 0.0000 0.0000 0.1299 [3 per cell]
3 Ba 0.0000 0.0000 0.5128 [3 per cell]
4 Cd 0.0000 0.0000 0.6363 [3 per cell]
5 Ag 0.0000 0.0000 0.3174 [3 per cell]
6 Ag 0.0000 0.0000 0.8188 [3 per cell]
7 Ag 0.1681 0.3362 0.3991 [9 per cell]
8 Ag 0.1697 0.3394 0.9035 [9 per cell]


(4)
Material: Pm2DyBi2
Method: DFT, PBE
State: optimized geometry

- ΔE_f (kcal/mol of atoms) = -14.2

Lattice parameters (Å, degrees): 8.723 12.128 6.458 90.00 90.00 90.00
Space group Ibam (No. 72)
Asymmetric unit:
1 Pm 0.145 0.152 0.000 [8 per cell]
2 Dy 0.000 0.500 0.250 [4 per cell]
3 Bi 0.218 0.108 0.500 [8 per cell]


| no. | DOS at the Fermi energy (states/eV/cell) |
| --- | --- |
| 1 | 12.93 |
| 2 | 0.00 |
| 3 | 27.56 |
| 4 | 16.58 |